# 1
Computed, not measured: a relaxed structure of SmY7Er3 at the PBE level of DFT.

abc: 8.871 9.950 5.550
angles: 90.00 128.73 105.03
Positions (direct):
Y1 0.648 0.289 0.148
Y2 0.500 0.000 0.500
Y3 0.076 0.169 0.076
Y4 0.822 0.640 0.323
Y5 0.924 0.831 0.924
Y6 0.352 0.711 0.852
Y7 0.178 0.360 0.677
Er1 0.000 0.500 0.000
Er2 0.777 0.997 0.276
Er3 0.223 0.003 0.724
Sm1 0.500 0.500 0.500

Results
Its space group is No. 10. The energy above the lowest structure with this stoichiometry is 0.0 meV per atom.



# 2
Computed, not measured: a relaxed structure of Sm2YEr7 at the PBE level of DFT.

abc: 5.414 8.854 9.409
angles: 118.02 106.68 52.29
Positions (direct):
Y1 0.000 0.000 0.000
Er1 0.250 0.358 0.217
Er2 0.750 0.859 0.217
Er3 0.001 0.800 0.600
Er4 0.250 0.141 0.783
Er5 0.500 0.500 0.000
Er6 0.999 0.200 0.400
Er7 0.750 0.642 0.783
Sm1 0.500 0.301 0.603
Sm2 0.500 0.699 0.397

Results
Its space group is No. 71. The energy above the lowest structure with this stoichiometry is 0.0 meV per atom.



# 3
Computed, not measured: a relaxed structure of Sm7Y2Er3 at the PBE level of DFT.

abc: 5.504 6.247 12.231
angles: 90.57 90.00 90.01
Positions (direct):
Er1 0.500 0.500 0.000
Er2 0.000 0.056 0.659
Er3 0.000 0.944 0.341
Sm1 0.500 0.092 0.170
Sm2 0.000 0.444 0.180
Sm3 0.500 0.759 0.546
Sm4 0.500 0.908 0.830
Sm5 0.500 0.241 0.454
Sm6 0.000 0.556 0.820
Sm7 0.000 0.000 0.000
Y1 0.500 0.385 0.723
Y2 0.500 0.615 0.277

Results
Its space group is No. 10. The energy above the lowest structure with this stoichiometry is 213.3 meV per atom.



# 4
Computed, not measured: a relaxed structure of Sm5Y12Er3 at the PBE level of DFT.

abc: 16.280 16.280 16.280
angles: 109.47 109.47 109.47
Positions (direct):
Y1 0.912 0.847 0.772
Y2 0.575 0.228 0.140
Y3 0.912 0.065 0.640
Y4 0.228 0.653 0.088
Y5 0.935 0.088 0.860
Y6 0.347 0.575 0.435
Y7 0.435 0.075 0.347
Y8 0.075 0.435 0.847
Y9 0.640 0.075 0.228
Y10 0.728 0.140 0.075
Y11 0.140 0.728 0.575
Y12 0.925 0.360 0.272
Y13 0.435 0.360 0.588
Y14 0.860 0.272 0.425
Y15 0.272 0.412 0.847
Y16 0.847 0.935 0.075
Y17 0.588 0.860 0.435
Y18 0.847 0.912 0.272
Y19 0.653 0.228 0.588
Y20 0.272 0.860 0.925
Y21 0.065 0.912 0.140
Y22 0.860 0.588 0.935
Y23 0.065 0.153 0.425
Y24 0.075 0.640 0.728
Y25 0.347 0.772 0.412
Y26 0.588 0.728 0.653
Y27 0.425 0.653 0.065
Y28 0.140 0.412 0.065
Y29 0.088 0.153 0.228
Y30 0.412 0.140 0.565
Y31 0.728 0.588 0.153
Y32 0.565 0.640 0.412
Y33 0.425 0.772 0.860
Y34 0.412 0.272 0.347
Y35 0.925 0.565 0.153
Y36 0.935 0.847 0.575
Y37 0.640 0.565 0.912
Y38 0.653 0.425 0.565
Y39 0.565 0.925 0.653
Y40 0.360 0.925 0.772
Y41 0.228 0.575 0.640
Y42 0.153 0.088 0.728
Y43 0.772 0.347 0.912
Y44 0.575 0.347 0.935
Y45 0.360 0.435 0.088
Y46 0.772 0.425 0.360
Y47 0.088 0.935 0.360
Y48 0.153 0.065 0.925
Er1 0.125 0.875 0.750
Er2 0.875 0.125 0.250
Er3 0.625 0.375 0.750
Er4 0.875 0.750 0.125
Er5 0.750 0.875 0.625
Er6 0.750 0.375 0.125
Er7 0.250 0.625 0.875
Er8 0.125 0.250 0.875
Er9 0.250 0.125 0.375
Er10 0.625 0.250 0.375
Er11 0.375 0.750 0.625
Er12 0.375 0.625 0.250
Sm1 0.625 0.750 0.875
Sm2 0.750 0.625 0.375
Sm3 0.875 0.625 0.750
Sm4 0.375 0.250 0.125
Sm5 0.500 0.500 0.000
Sm6 0.000 0.500 0.500
Sm7 0.500 0.000 0.500
Sm8 0.000 0.000 0.500
Sm9 0.125 0.375 0.250
Sm10 0.875 0.250 0.625
Sm11 0.000 0.500 0.000
Sm12 0.500 0.000 0.000
Sm13 0.750 0.125 0.875
Sm14 0.625 0.875 0.250
Sm15 0.250 0.375 0.625
Sm16 0.125 0.750 0.375
Sm17 0.375 0.125 0.750
Sm18 0.500 0.500 0.500
Sm19 0.250 0.875 0.125
Sm20 0.000 0.000 0.000

Results
Its space group is No. 230. The total energy is -4.68 eV/atom.



# 5
Computed, not measured: a relaxed structure of Sm2Y5Er6 at the PBE level of DFT.

abc: 3.578 11.617 20.206
angles: 90.00 90.00 90.00
Positions (direct):
Er1 0.000 0.581 0.133
Er2 0.000 0.919 0.633
Er3 0.500 0.675 0.868
Er4 0.000 0.940 0.921
Er5 0.500 0.825 0.368
Er6 0.500 0.325 0.132
Er7 0.000 0.419 0.867
Er8 0.000 0.060 0.079
Er9 0.000 0.081 0.367
Er10 0.500 0.175 0.632
Er11 0.000 0.560 0.421
Er12 0.000 0.440 0.579
Y1 0.500 0.500 0.000
Y2 0.500 0.000 0.500
Y3 0.500 0.801 0.051
Y4 0.500 0.301 0.449
Y5 0.500 0.699 0.551
Y6 0.500 0.590 0.276
Y7 0.500 0.910 0.776
Y8 0.500 0.199 0.949
Y9 0.500 0.410 0.724
Y10 0.500 0.090 0.224
Sm1 0.000 0.668 0.713
Sm2 0.000 0.168 0.787
Sm3 0.000 0.332 0.287
Sm4 0.000 0.832 0.213

Results
Its space group is No. 55. The total energy is -5.22 eV/atom.



# 6
Computed, not measured: a relaxed structure of Sm4Y2Er3 at the PBE level of DFT.

abc: 7.037 12.035 12.035
angles: 47.98 54.23 54.23
Positions (direct):
Er1 0.089 0.831 0.830
Er2 0.250 0.500 0.500
Er3 0.411 0.170 0.169
Er4 0.911 0.169 0.170
Er5 0.750 0.500 0.500
Er6 0.589 0.830 0.831
Y1 0.318 0.153 0.530
Y2 0.682 0.847 0.470
Y3 0.182 0.470 0.847
Y4 0.818 0.530 0.153
Sm1 0.151 0.821 0.528
Sm2 0.966 0.182 0.852
Sm3 0.034 0.818 0.148
Sm4 0.349 0.472 0.179
Sm5 0.534 0.148 0.818
Sm6 0.651 0.528 0.821
Sm7 0.466 0.852 0.182
Sm8 0.849 0.179 0.472

Results
Its space group is No. 66. The total energy is -5.01 eV/atom.



# 7
Computed, not measured: a relaxed structure of Sm6Y3Er at the PBE level of DFT.

abc: 9.024 9.103 9.103
angles: 116.88 90.00 90.00
Positions (direct):
Er1 0.537 0.780 0.220
Er2 0.037 0.220 0.780
Sm1 0.173 0.722 0.278
Sm2 0.782 0.051 0.949
Sm3 0.768 0.818 0.528
Sm4 0.596 0.688 0.814
Sm5 0.096 0.814 0.688
Sm6 0.673 0.278 0.722
Sm7 0.096 0.312 0.186
Sm8 0.268 0.528 0.818
Sm9 0.596 0.186 0.312
Sm10 0.282 0.949 0.051
Sm11 0.268 0.182 0.472
Sm12 0.768 0.472 0.182
Y1 0.914 0.448 0.552
Y2 0.426 0.974 0.672
Y3 0.414 0.552 0.448
Y4 0.426 0.328 0.026
Y5 0.926 0.672 0.974
Y6 0.926 0.026 0.328

Results
Its space group is No. 36. The energy above the lowest structure with this stoichiometry is 0.0 meV per atom.



# 8
Computed, not measured: a relaxed structure of Sm12Y5Er at the PBE level of DFT.

abc: 15.275 10.807 5.103
angles: 90.00 90.01 45.09
Positions (direct):
Er1 0.000 0.000 0.000
Sm1 0.000 0.333 0.000
Sm2 0.667 0.000 0.000
Sm3 0.667 0.333 0.000
Sm4 0.834 0.666 0.500
Sm5 0.333 0.000 0.000
Sm6 0.166 0.000 0.500
Sm7 0.500 0.667 0.500
Sm8 0.166 0.334 0.500
Sm9 0.500 0.333 0.500
Sm10 0.333 0.667 0.000
Sm11 0.000 0.667 0.000
Sm12 0.834 0.000 0.500
Y1 0.834 0.332 0.500
Y2 0.166 0.668 0.500
Y3 0.667 0.667 0.000
Y4 0.500 0.000 0.500
Y5 0.333 0.333 0.000

Results
Its space group is No. 10. The total energy is -5.18 eV/atom.



# 9
Computed, not measured: a relaxed structure of Sm2Y7Er3 at the PBE level of DFT.

abc: 3.595 5.788 18.688
angles: 93.72 90.00 90.00
Positions (direct):
Y1 0.500 0.183 0.178
Y2 0.500 0.742 0.463
Y3 0.000 0.679 0.143
Y4 0.500 0.258 0.537
Y5 0.000 0.000 0.000
Y6 0.500 0.817 0.822
Y7 0.000 0.321 0.857
Sm1 0.500 0.295 0.705
Sm2 0.500 0.705 0.295
Er1 0.000 0.780 0.632
Er2 0.500 0.500 0.000
Er3 0.000 0.220 0.368

Results
Its space group is No. 10. The energy above the lowest structure with this stoichiometry is 0.0 meV per atom.



# 10
Computed, not measured: a relaxed structure of Sm6YEr5 at the PBE level of DFT.

abc: 11.758 6.202 6.200
angles: 59.99 84.98 79.92
Positions (direct):
Sm1 0.251 0.251 0.000
Sm2 0.749 0.749 0.000
Sm3 0.251 0.583 0.334
Sm4 0.749 0.417 0.666
Sm5 0.749 0.083 0.334
Sm6 0.251 0.917 0.666
Er1 0.500 0.833 0.334
Er2 0.000 0.333 0.333
Er3 0.000 0.667 0.667
Er4 0.500 0.167 0.666
Er5 0.500 0.500 0.000
Y1 0.000 0.000 0.000

Results
Its space group is No. 12. The energy above the lowest structure with this stoichiometry is 0.0 meV per atom.



# 11
Computed, not measured: a relaxed structure of Sm2Y12Er5 at the PBE level of DFT.

abc: 6.814 12.658 11.270
angles: 134.41 90.00 105.62
Positions (direct):
Y1 0.627 0.775 0.527
Y2 0.581 0.162 0.737
Y3 0.852 0.225 0.473
Y4 0.549 0.614 0.840
Y5 0.373 0.225 0.473
Y6 0.948 0.896 0.169
Y7 0.148 0.775 0.527
Y8 0.052 0.104 0.831
Y9 0.935 0.386 0.160
Y10 0.451 0.386 0.160
Y11 0.419 0.838 0.263
Y12 0.065 0.614 0.840
Er1 0.792 0.584 0.094
Er2 0.229 0.457 0.463
Er3 0.208 0.416 0.906
Er4 0.000 0.000 0.500
Er5 0.771 0.543 0.537
Sm1 0.752 0.000 0.000
Sm2 0.248 0.000 0.000

Results
Its space group is No. 12. The energy above the lowest structure with this stoichiometry is 150.6 meV per atom.



# 12
Computed, not measured: a relaxed structure of Sm8Y2Er3 at the PBE level of DFT.

abc: 5.672 7.684 10.878
angles: 110.68 90.02 90.00
Positions (direct):
Er1 0.000 0.715 0.000
Er2 0.500 0.000 0.000
Er3 0.000 0.285 0.000
Y1 0.501 0.760 0.519
Y2 0.499 0.240 0.481
Sm1 0.001 0.669 0.338
Sm2 0.999 0.331 0.662
Sm3 0.500 0.601 0.789
Sm4 0.500 0.812 0.211
Sm5 0.500 0.188 0.789
Sm6 0.001 0.869 0.739
Sm7 0.999 0.131 0.261
Sm8 0.500 0.399 0.211

Results
Its space group is No. 12. The total energy is -4.74 eV/atom.



# 13
Computed, not measured: a relaxed structure of Sm8YEr6 at the PBE level of DFT.

abc: 6.494 9.380 9.380
angles: 120.00 90.00 90.00
Positions (direct):
Sm1 0.834 0.713 0.749
Sm2 0.166 0.749 0.036
Sm3 0.878 0.333 0.667
Sm4 0.166 0.964 0.713
Sm5 0.166 0.287 0.251
Sm6 0.122 0.667 0.333
Sm7 0.834 0.251 0.964
Sm8 0.834 0.036 0.287
Er1 0.659 0.655 0.094
Er2 0.341 0.561 0.655
Er3 0.341 0.094 0.439
Er4 0.341 0.345 0.906
Er5 0.659 0.439 0.345
Er6 0.659 0.906 0.561
Y1 0.500 0.000 0.000

Results
Its space group is No. 147. The energy above the lowest structure with this stoichiometry is 49.8 meV per atom.



# 14
Computed, not measured: a relaxed structure of Sm3Y2Er8 at the PBE level of DFT.

abc: 5.587 7.651 10.767
angles: 110.81 90.02 90.00
Positions (direct):
Y1 0.499 0.241 0.482
Y2 0.501 0.759 0.518
Sm1 0.000 0.710 0.000
Sm2 0.500 0.000 0.000
Sm3 0.000 0.290 0.000
Er1 0.500 0.819 0.217
Er2 0.999 0.332 0.664
Er3 0.500 0.181 0.783
Er4 0.500 0.399 0.217
Er5 0.500 0.601 0.783
Er6 0.001 0.668 0.336
Er7 0.000 0.867 0.734
Er8 0.000 0.133 0.266

Results
Its space group is No. 12. The energy above the lowest structure with this stoichiometry is 228.5 meV per atom.



# 15
Computed, not measured: a relaxed structure of Sm4Y10Er at the PBE level of DFT.

abc: 7.733 9.476 9.476
angles: 80.42 65.92 65.92
Positions (direct):
Y1 0.448 0.900 0.702
Y2 0.347 0.702 0.100
Y3 0.552 0.100 0.298
Y4 0.750 0.500 0.500
Y5 0.150 0.298 0.900
Y6 0.951 0.900 0.702
Y7 0.250 0.500 0.500
Y8 0.850 0.702 0.100
Y9 0.049 0.100 0.298
Y10 0.653 0.298 0.900
Sm1 0.399 0.802 0.400
Sm2 0.201 0.400 0.198
Sm3 0.601 0.198 0.600
Sm4 0.799 0.600 0.802
Er1 0.000 0.000 0.000

Results
Its space group is No. 87. The total energy is -5.12 eV/atom.



# 16
Computed, not measured: a relaxed structure of Sm5Y3Er4 at the PBE level of DFT.

abc: 5.694 9.544 9.593
angles: 114.12 72.74 72.65
Positions (direct):
Sm1 0.681 0.708 0.929
Sm2 0.730 0.929 0.611
Sm3 0.319 0.292 0.071
Sm4 0.270 0.071 0.389
Sm5 0.500 0.500 0.500
Y1 0.533 0.650 0.284
Y2 0.000 0.500 0.500
Y3 0.467 0.350 0.716
Er1 0.167 0.864 0.803
Er2 0.053 0.745 0.149
Er3 0.947 0.255 0.851
Er4 0.833 0.136 0.197

Results
Its space group is No. 12. The total energy is -4.84 eV/atom.



no.,mass density (g cm⁻³),magnetization (μB/f.u.)
1,5.87,0.000
2,8.23,0.001
3,6.84,0.001
4,4.64,0.023
5,6.91,0.000
6,7.31,0.000
7,6.65,0.000
8,6.72,0.000
9,6.10,0.000
10,7.87,0.000
11,5.69,0.000
12,7.05,0.000
13,7.70,0.000
14,7.59,0.000
15,4.76,0.000
16,7.04,0.027